Record 1
Here is a relaxed structure of HfZr2BeP from Alexandria via LeMat-Bulk. Energies are from PBE.

Lattice parameters (Å, degrees): 4.8633 4.8633 3.8327 90.00 90.00 90.00
Sites, in units of the cell vectors:
Hf 0.0000 0.0000 0.0000
Zr 0.0000 0.5000 0.5000
Zr 0.5000 0.0000 0.5000
Be 0.5000 0.5000 0.5000
P 0.5000 0.5000 0.0000

## Properties
M_tot = 0.0000 μB per atom
calculated formation energy = 137.8 meV/atom
SG = P4/mmm, No. 123
final energy = -35.5 eV for the cell shown
V = 90.65 Å³/cell
ρ = 7344 kg/m3



Record 2
Here is a relaxed structure of Sm6Ir2SeBr3 from Alexandria via LeMat-Bulk. Energies are from PBE.

Lattice parameters (Å, degrees): 7.3016 7.3016 7.9015 98.85 98.85 119.97
Sites, in units of the cell vectors:
Sm 0.0758 0.4329 0.8011
Sm 0.2088 0.2088 0.1977
Sm 0.4329 0.0758 0.8011
Sm 0.5671 0.9242 0.1989
Sm 0.7912 0.7912 0.8023
Sm 0.9242 0.5671 0.1989
Ir 0.1672 0.8328 0.0000
Ir 0.8328 0.1672 0.0000
Se 0.5000 0.5000 0.0000
Br 0.0000 0.0000 0.5000
Br 0.3391 0.6609 0.5000
Br 0.6609 0.3391 0.5000

## Properties
M_tot = 0.0000 μB per atom
SG = C2/m, No. 12
final energy = -69.4 eV for the cell shown
V = 347.25 Å³/cell
ρ = 7676 kg/m3



Record 3
Here is a relaxed structure of Rb3Cd2Bi4 from Alexandria via LeMat-Bulk. Energies are from PBE.

Lattice parameters (Å, degrees): 7.1406 7.1406 9.7821 93.73 93.73 43.01
Sites, in units of the cell vectors:
Rb 0.0000 0.0000 0.0000
Rb 0.4069 0.4069 0.2848
Rb 0.5931 0.5931 0.7152
Cd 0.2783 0.2783 0.6132
Cd 0.7217 0.7217 0.3868
Bi 0.0963 0.0963 0.3994
Bi 0.2923 0.2923 0.9228
Bi 0.7077 0.7077 0.0772
Bi 0.9037 0.9037 0.6006

## Properties
M_tot = 0.0000 μB per atom
calculated formation energy = -264.7 meV/atom
SG = C2/m, No. 12
excess energy over the best structure of this formula in the dataset = 0.000 eV/atom
final energy = -22.6 eV for the cell shown
V = 339.41 Å³/cell
ρ = 6444 kg/m3



Record 4
Here is a relaxed structure of LiSc2CdAu4 from Alexandria via LeMat-Bulk. Energies are from PBE.

Lattice parameters (Å, degrees): 8.1537 8.1537 8.1537 33.70 33.70 33.70
Sites, in units of the cell vectors:
Li 0.0000 0.0000 0.0000
Sc 0.2484 0.2484 0.2484
Sc 0.7516 0.7516 0.7516
Cd 0.5000 0.5000 0.5000
Au 0.1185 0.1185 0.1185
Au 0.3705 0.3705 0.3705
Au 0.6295 0.6295 0.6295
Au 0.8815 0.8815 0.8815

## Properties
M_tot = 0.0000 μB per atom
calculated formation energy = -647.6 meV/atom
SG = R-3m, No. 166
final energy = -33.8 eV for the cell shown
V = 148.71 Å³/cell
ρ = 11134 kg/m3



Record 5
Here is a relaxed structure of NbV2Sb from Alexandria via LeMat-Bulk. Energies are from PBE.

Lattice parameters (Å, degrees): 3.3957 3.3957 5.7907 90.00 90.00 90.00
Sites, in units of the cell vectors:
Nb 0.0000 0.0000 0.0000
V 0.5000 0.5000 0.2402
V 0.5000 0.5000 0.7598
Sb 0.0000 0.0000 0.5000

## Properties
M_tot = 0.0001 μB per atom
SG = P4/mmm, No. 123
final energy = -32.7 eV for the cell shown
V = 66.77 Å³/cell
ρ = 7872 kg/m3



Record 6
Here is a relaxed structure of Ag2GeCl from Alexandria via LeMat-Bulk. Energies are from PBE.

Lattice parameters (Å, degrees): 6.3416 6.3416 6.3416 115.13 115.13 98.66
Sites, in units of the cell vectors:
Ag 0.1126 0.6250 0.9876
Ag 0.3750 0.3626 0.4876
Ag 0.6374 0.1250 0.0124
Ag 0.8750 0.8874 0.5124
Ge 0.0000 0.0000 0.0000
Ge 0.7500 0.2500 0.5000
Cl 0.2500 0.7500 0.5000
Cl 0.5000 0.5000 0.0000

## Properties
M_tot = 0.0000 μB per atom
SG = I-42d, No. 122
excess energy over the best structure of this formula in the dataset = 0.000 eV/atom
final energy = -23.4 eV for the cell shown
V = 191.23 Å³/cell
ρ = 5624 kg/m3



Record 7
Here is a relaxed structure of CsCrS2Cl from Alexandria via LeMat-Bulk. Energies are from PBE.

Lattice parameters (Å, degrees): 4.6837 4.6837 5.5154 90.00 90.00 90.00
Sites, in units of the cell vectors:
Cs 0.0000 0.0000 0.0000
Cr 0.5000 0.5000 0.5000
S 0.0000 0.5000 0.5000
S 0.5000 0.0000 0.5000
Cl 0.5000 0.5000 0.0000

## Properties
M_tot = 0.4339 μB per atom
SG = P4/mmm, No. 123
excess energy over the best structure of this formula in the dataset = 0.000 eV/atom
final energy = -24.2 eV for the cell shown
V = 120.99 Å³/cell
ρ = 3904 kg/m3



Record 8
Here is a relaxed structure of Pm6ErTl2 from Alexandria via LeMat-Bulk. Energies are from PBE.

Lattice parameters (Å, degrees): 6.8091 6.8091 12.1261 107.25 107.25 32.51
Sites, in units of the cell vectors:
Pm 0.0165 0.0165 0.3435
Pm 0.3064 0.3064 0.4089
Pm 0.3175 0.3175 0.1233
Pm 0.6825 0.6825 0.8767
Pm 0.6936 0.6936 0.5911
Pm 0.9835 0.9835 0.6565
Er 0.0000 0.0000 0.0000
Tl 0.3638 0.3638 0.8043
Tl 0.6362 0.6362 0.1957

## Properties
M_tot = 0.0000 μB per atom
calculated formation energy = -150.0 meV/atom
SG = C2/m, No. 12
excess energy over the best structure of this formula in the dataset = 0.000 eV/atom
final energy = -39.1 eV for the cell shown
V = 287.41 Å³/cell
ρ = 8355 kg/m3



Record 9
Here is a relaxed structure of Ag2Bi2Br7 from Alexandria via LeMat-Bulk. Energies are from PBE.

Lattice parameters (Å, degrees): 9.5022 9.5022 4.9115 101.49 101.49 59.80
Sites, in units of the cell vectors:
Ag 0.1543 0.8457 0.0000
Ag 0.8457 0.1543 0.0000
Bi 0.2828 0.2828 0.8636
Bi 0.7172 0.7172 0.1364
Br 0.0000 0.0000 0.5000
Br 0.0419 0.6300 0.8452
Br 0.3700 0.9581 0.1548
Br 0.3801 0.3801 0.3838
Br 0.6199 0.6199 0.6162
Br 0.6300 0.0419 0.8452
Br 0.9581 0.3700 0.1548

## Properties
M_tot = 0.0000 μB per atom
SG = C2/m, No. 12
final energy = -29.8 eV for the cell shown
V = 373.01 Å³/cell
ρ = 5311 kg/m3



Record 10
Here is a relaxed structure of MnAlTl2Te4 from Alexandria via LeMat-Bulk. Energies are from PBE.

Lattice parameters (Å, degrees): 6.9712 6.9712 6.9712 104.27 104.27 120.47
Sites, in units of the cell vectors:
Mn 0.0000 0.0000 0.0000
Al 0.5000 0.5000 0.0000
Tl 0.0000 0.5000 0.5000
Tl 0.5000 0.0000 0.5000
Te 0.0856 0.0856 0.6647
Te 0.4209 0.4209 0.3353
Te 0.5791 0.9144 0.0000
Te 0.9144 0.5791 0.0000

## Properties
M_tot = 0.4997 μB per atom
SG = I-42m, No. 121
final energy = -32.5 eV for the cell shown
V = 253.48 Å³/cell
ρ = 6558 kg/m3



Record 11
Here is a relaxed structure of Sc2Ag3 from Alexandria via LeMat-Bulk. Energies are from PBE.

Lattice parameters (Å, degrees): 11.8508 11.8508 11.8508 15.35 15.35 15.35
Sites, in units of the cell vectors:
Sc 0.0987 0.0987 0.0987
Sc 0.9013 0.9013 0.9013
Ag 0.3005 0.3005 0.3005
Ag 0.5000 0.5000 0.5000
Ag 0.6995 0.6995 0.6995

## Properties
M_tot = 0.0006 μB per atom
calculated formation energy = -19.2 meV/atom
SG = R-3m, No. 166
excess energy over the best structure of this formula in the dataset = 0.248 eV/atom
final energy = -21.3 eV for the cell shown
V = 101.56 Å³/cell
ρ = 6761 kg/m3



Record 12
Here is a relaxed structure of PaAlP2N6 from Alexandria via LeMat-Bulk. Energies are from PBE.

Lattice parameters (Å, degrees): 6.9055 6.9055 5.6165 106.69 106.69 87.56
Sites, in units of the cell vectors:
Pa 0.1273 0.8727 0.7500
Pa 0.8727 0.1273 0.2500
Al 0.2390 0.7610 0.2500
Al 0.7610 0.2390 0.7500
P 0.2200 0.3675 0.7866
P 0.3675 0.2200 0.2866
P 0.6325 0.7800 0.7134
P 0.7800 0.6325 0.2134
N 0.0125 0.2130 0.6718
N 0.1816 0.6026 0.9144
N 0.2130 0.0125 0.1718
N 0.2687 0.3611 0.5101
N 0.3611 0.2687 0.0101
N 0.3974 0.8184 0.5856
N 0.6026 0.1816 0.4144
N 0.6389 0.7313 0.9899
N 0.7313 0.6389 0.4899
N 0.7870 0.9875 0.8282
N 0.8184 0.3974 0.0856
N 0.9875 0.7870 0.3282

## Properties
M_tot = 0.0000 μB per atom
SG = C2/c, No. 15
final energy = -163.9 eV for the cell shown
V = 245.52 Å³/cell
ρ = 5465 kg/m3



Record 13
Here is a relaxed structure of Pr7Nd3Dy from Alexandria via LeMat-Bulk. Energies are from PBE.

Lattice parameters (Å, degrees): 8.6917 8.6917 6.0379 110.20 110.20 82.93
Sites, in units of the cell vectors:
Pr 0.0000 0.0000 0.0000
Pr 0.0973 0.5101 0.3036
Pr 0.2903 0.2903 0.7913
Pr 0.4899 0.9027 0.6964
Pr 0.5101 0.0973 0.3036
Pr 0.7097 0.7097 0.2087
Pr 0.9027 0.4899 0.6964
Nd 0.2917 0.7083 0.0000
Nd 0.5000 0.5000 0.5000
Nd 0.7083 0.2917 0.0000
Dy 0.0000 0.0000 0.5000

## Properties
M_tot = 0.0000 μB per atom
calculated formation energy = 218.8 meV/atom
SG = C2/m, No. 12
excess energy over the best structure of this formula in the dataset = 0.000 eV/atom
final energy = -50.0 eV for the cell shown
V = 401.73 Å³/cell
ρ = 6537 kg/m3



Record 14
Here is a relaxed structure of LaPrHoGa from Alexandria via LeMat-Bulk. Energies are from PBE.

Lattice parameters (Å, degrees): 5.4877 5.4877 5.4877 60.00 60.00 60.00
Sites, in units of the cell vectors:
La 0.0000 0.0000 0.0000
Pr 0.5000 0.5000 0.5000
Ho 0.7500 0.7500 0.7500
Ga 0.2500 0.2500 0.2500

## Properties
M_tot = 0.0100 μB per atom
calculated formation energy = -113.5 meV/atom
SG = F-43m, No. 216
final energy = -17.8 eV for the cell shown
V = 116.86 Å³/cell
ρ = 7311 kg/m3



Record 15
Here is a relaxed structure of NpCu2Rh5 from Alexandria via LeMat-Bulk. Energies are from PBE.

Lattice parameters (Å, degrees): 7.6894 7.6894 7.6894 149.34 149.34 43.91
Sites, in units of the cell vectors:
Np 0.0000 0.0000 0.0000
Cu 0.2512 0.2512 0.0000
Cu 0.7488 0.7488 0.0000
Rh 0.1311 0.6311 0.5000
Rh 0.3689 0.8689 0.5000
Rh 0.5000 0.5000 0.0000
Rh 0.6311 0.1311 0.5000
Rh 0.8689 0.3689 0.5000

## Properties
M_tot = 0.0598 μB per atom
calculated formation energy = -196.0 meV/atom
SG = I4/mmm, No. 139
final energy = -59.5 eV for the cell shown
V = 117.87 Å³/cell
ρ = 12378 kg/m3



Record 16
Here is a relaxed structure of AcTh3N from Alexandria via LeMat-Bulk. Energies are from PBE.

Lattice parameters (Å, degrees): 5.1591 5.1591 5.1591 90.00 90.00 90.00
Sites, in units of the cell vectors:
Ac 0.0000 0.0000 0.0000
Th 0.0000 0.5000 0.5000
Th 0.5000 0.0000 0.5000
Th 0.5000 0.5000 0.0000
N 0.5000 0.5000 0.5000

## Properties
M_tot = 0.0000 μB per atom
SG = Pm-3m, No. 221
final energy = -37.2 eV for the cell shown
V = 137.32 Å³/cell
ρ = 11332 kg/m3



Record 17
Here is a relaxed structure of KSi2Pt from Alexandria via LeMat-Bulk. Energies are from PBE.

Lattice parameters (Å, degrees): 4.7183 4.7183 4.7183 119.53 119.53 90.82
Sites, in units of the cell vectors:
K 0.0000 0.0000 0.0000
Si 0.5000 0.5000 0.0000
Si 0.7500 0.2500 0.5000
Pt 0.2500 0.7500 0.5000

## Properties
M_tot = 0.0000 μB per atom
SG = I-4m2, No. 119
final energy = -15.7 eV for the cell shown
V = 74.80 Å³/cell
ρ = 6446 kg/m3



Record 18
Here is a relaxed structure of Y3Cd2 from Alexandria via LeMat-Bulk. Energies are from PBE.

Lattice parameters (Å, degrees): 5.1878 5.1878 6.4004 90.00 90.00 120.00
Sites, in units of the cell vectors:
Y 0.0000 0.0000 0.0000
Y 0.3333 0.6667 0.3479
Y 0.6667 0.3333 0.6521
Cd 0.3333 0.6667 0.8452
Cd 0.6667 0.3333 0.1548

## Properties
M_tot = 0.1096 μB per atom
calculated formation energy = -101.5 meV/atom
SG = P-3m1, No. 164
final energy = -21.7 eV for the cell shown
V = 149.18 Å³/cell
ρ = 5472 kg/m3



Record 19
Here is a relaxed structure of Dy2PaO6 from Alexandria via LeMat-Bulk. Energies are from PBE.

Lattice parameters (Å, degrees): 5.1371 5.1371 10.5817 90.00 90.00 90.00
Sites, in units of the cell vectors:
Dy 0.0000 0.0000 0.1663
Dy 0.0000 0.0000 0.8337
Dy 0.5000 0.5000 0.3337
Dy 0.5000 0.5000 0.6663
Pa 0.0000 0.0000 0.5000
Pa 0.5000 0.5000 0.0000
O 0.1878 0.1878 0.3406
O 0.1878 0.1878 0.6594
O 0.2007 0.2007 0.0000
O 0.2993 0.7007 0.5000
O 0.3122 0.6878 0.1594
O 0.3122 0.6878 0.8406
O 0.6878 0.3122 0.1594
O 0.6878 0.3122 0.8406
O 0.7007 0.2993 0.5000
O 0.7993 0.7993 0.0000
O 0.8122 0.8122 0.3406
O 0.8122 0.8122 0.6594

## Properties
M_tot = 0.0706 μB per atom
SG = P4_2/mnm, No. 136
excess energy over the best structure of this formula in the dataset = 0.095 eV/atom
final energy = -156.4 eV for the cell shown
V = 279.25 Å³/cell
ρ = 7754 kg/m3



Record 20
Here is a relaxed structure of AcDy2Bi from Alexandria via LeMat-Bulk. Energies are from PBE.

Lattice parameters (Å, degrees): 4.0595 4.0595 7.9238 90.00 90.00 90.00
Sites, in units of the cell vectors:
Ac 0.0000 0.0000 0.0000
Dy 0.5000 0.5000 0.2906
Dy 0.5000 0.5000 0.7094
Bi 0.0000 0.0000 0.5000

## Properties
M_tot = 0.0001 μB per atom
calculated formation energy = -333.1 meV/atom
SG = P4/mmm, No. 123
excess energy over the best structure of this formula in the dataset = 0.000 eV/atom
final energy = -18.5 eV for the cell shown
V = 130.58 Å³/cell
ρ = 9677 kg/m3